No. 1
This record from the Open Quantum Materials Database describes a relaxed Nd3CdHg5 crystal. The functional is GGA-PBE.

Properties
Energy relative to the elements: -0.45 eV/atom
Electronic total energy: -2.300 eV per atom

Unit cell a=9.2017 b=9.2017 c=6.4929 alpha=90.00 beta=90.00 gamma=120.00
Sites, in units of the cell vectors:
Nd 0.0000 0.3482 0.2500
Nd 0.0000 0.6518 0.7500
Nd 0.3482 0.0000 0.2500
Nd 0.3482 0.3482 0.7500
Nd 0.6518 0.0000 0.7500
Nd 0.6518 0.6518 0.2500
Cd 0.0000 0.0000 0.0000
Cd 0.0000 0.0000 0.5000
Hg 0.0000 0.3159 0.7500
Hg 0.0000 0.6841 0.2500
Hg 0.3159 0.0000 0.7500
Hg 0.3159 0.3159 0.2500
Hg 0.3333 0.6667 0.0000
Hg 0.3333 0.6667 0.5000
Hg 0.6667 0.3333 0.0000
Hg 0.6667 0.3333 0.5000
Hg 0.6841 0.0000 0.2500
Hg 0.6841 0.6841 0.7500



No. 2
This record from the Open Quantum Materials Database describes a relaxed NdCdHg crystal. The functional is GGA-PBE.

Properties
Energy relative to the elements: -0.28 eV/atom
Electronic total energy: -2.265 eV per atom

Unit cell a=4.9903 b=4.9903 c=4.9903 alpha=60.00 beta=60.00 gamma=60.00
Sites, in units of the cell vectors:
Nd 0.0000 0.0000 0.0000
Cd 0.5000 0.5000 0.5000
Hg 0.7500 0.7500 0.7500



No. 3
This record from the Open Quantum Materials Database describes a relaxed NdCdHg crystal. The functional is GGA-PBE.

Properties
Energy relative to the elements: -0.04 eV/atom
Electronic total energy: -2.024 eV per atom

Unit cell a=5.1015 b=5.1015 c=5.1015 alpha=60.00 beta=60.00 gamma=60.00
Sites, in units of the cell vectors:
Nd 0.0000 0.0000 0.0000
Cd 0.7500 0.7500 0.7500
Hg 0.2500 0.2500 0.2500



No. 4
This record from the Open Quantum Materials Database describes a relaxed CdNiHgSb crystal. The functional is GGA-PBE.

Properties
Electronic total energy: -2.389 eV per atom

Unit cell a=4.8713 b=4.8713 c=4.8713 alpha=60.00 beta=60.00 gamma=60.00
Sites, in units of the cell vectors:
Cd 0.0000 0.0000 0.0000
Ni 0.7500 0.7500 0.7500
Hg 0.2500 0.2500 0.2500
Sb 0.5000 0.5000 0.5000



No. 5
This record from the Open Quantum Materials Database describes a relaxed CdNiSnHg crystal. The functional is GGA-PBE.

Properties
Electronic total energy: -2.442 eV per atom

Unit cell a=4.8530 b=4.8530 c=4.8530 alpha=60.00 beta=60.00 gamma=60.00
Sites, in units of the cell vectors:
Cd 0.0000 0.0000 0.0000
Ni 0.7500 0.7500 0.7500
Sn 0.5000 0.5000 0.5000
Hg 0.2500 0.2500 0.2500



No. 6
This record from the Open Quantum Materials Database describes a relaxed TlCdNiHg crystal. The functional is GGA-PBE.

Properties
Electronic total energy: -1.969 eV per atom

Unit cell a=4.8897 b=4.8897 c=4.8897 alpha=60.00 beta=60.00 gamma=60.00
Sites, in units of the cell vectors:
Tl 0.0000 0.0000 0.0000
Cd 0.5000 0.5000 0.5000
Ni 0.2500 0.2500 0.2500
Hg 0.7500 0.7500 0.7500



electronic total energy of number 3 (NdCdHg)?
-2.024 eV per atom